Record 1
# Zr2SiSb | Alexandria via LeMat-Bulk | PBE | relaxed
# formation energy without anion corrections: -0.4138 eV/atom
# distance to the lowest polymorph of the same formula: 259 meV per atom
data_Zr2SiSb
_chemical_formula_sum 'Zr4 Si2 Sb2'
_symmetry_space_group_name_H-M 'I -4 m 2'
_symmetry_Int_Tables_number 119
_symmetry_space_group_name_Hall 'I -4 -2'
_cell_length_a 4.137
_cell_length_b 4.137
_cell_length_c 9.518
_cell_angle_alpha 90.00
_cell_angle_beta 90.00
_cell_angle_gamma 90.00
loop_
_atom_site_label
_atom_site_type_symbol
_atom_site_fract_x
_atom_site_fract_y
_atom_site_fract_z
Zr1 Zr 0.000 0.000 0.000
Zr2 Zr 0.000 0.500 0.250
Si1 Si 0.000 0.000 0.500
Sb1 Sb 0.000 0.500 0.750


Record 2
# Dy3Ir | Alexandria via LeMat-Bulk | PBE | relaxed
# ΔH_f (0 K): -532.6 meV per atom
data_Dy3Ir
_chemical_formula_sum 'Dy24 Ir8'
_symmetry_space_group_name_H-M 'I -4'
_symmetry_Int_Tables_number 82
_cell_length_a 11.663
_cell_length_b 11.663
_cell_length_c 6.128
_cell_angle_alpha 90.00
_cell_angle_beta 90.00
_cell_angle_gamma 90.00
loop_
_symmetry_equiv_pos_as_xyz
'x,y,z'
'y,-x,-z'
'-x,-y,z'
'-y,x,-z'
'x+1/2,y+1/2,z+1/2'
'y+1/2,-x+1/2,-z+1/2'
'-x+1/2,-y+1/2,z+1/2'
'-y+1/2,x+1/2,-z+1/2'
loop_
_atom_site_label
_atom_site_type_symbol
_atom_site_fract_x
_atom_site_fract_y
_atom_site_fract_z
Dy1 Dy 0.000 0.142 0.250
Dy2 Dy 0.095 0.405 0.504
Dy3 Dy 0.203 0.296 0.946
Ir1 Ir 0.000 0.208 0.750


Record 3
# KCrCl2 | Alexandria via LeMat-Bulk | PBE | relaxed
# formation energy without anion corrections: -0.9815 eV/atom
# distance to the lowest polymorph of the same formula: 7 meV per atom
data_KCrCl2
_chemical_formula_sum 'K3 Cr3 Cl6'
_symmetry_space_group_name_H-M 'R -3 m'
_symmetry_Int_Tables_number 166
_symmetry_space_group_name_Hall '-R 3 2"'
_cell_length_a 4.7444
_cell_length_b 4.7444
_cell_length_c 23.4719
_cell_angle_alpha 90.00
_cell_angle_beta 90.00
_cell_angle_gamma 120.00
loop_
_atom_site_label
_atom_site_type_symbol
_atom_site_fract_x
_atom_site_fract_y
_atom_site_fract_z
K1 K 0.0000 0.0000 0.0000
Cr1 Cr 0.0000 0.0000 0.5000
Cl1 Cl 0.0000 0.0000 0.4013


Record 4
# Sm2Se2O | Alexandria via LeMat-Bulk | PBE | relaxed
# formation energy without anion corrections: -2.4593 eV/atom
# distance to the lowest polymorph of the same formula: 3 meV per atom
data_Sm2Se2O
_chemical_formula_sum 'Sm8 Se8 O4'
_symmetry_space_group_name_H-M 'P n m a'
_symmetry_Int_Tables_number 62
_cell_length_a 16.470
_cell_length_b 4.023
_cell_length_c 7.167
_cell_angle_alpha 90.00
_cell_angle_beta 90.00
_cell_angle_gamma 90.00
loop_
_symmetry_equiv_pos_as_xyz
'x,y,z'
'-x,-y,-z'
'-x+1/2,-y,z+1/2'
'x+1/2,y,-z+1/2'
'x+1/2,-y+1/2,-z+1/2'
'-x+1/2,y+1/2,z+1/2'
'-x,y+1/2,-z'
'x,-y+1/2,z'
loop_
_atom_site_label
_atom_site_type_symbol
_atom_site_fract_x
_atom_site_fract_y
_atom_site_fract_z
Sm1 Sm 0.038 0.250 0.199
Sm2 Sm 0.161 0.250 0.760
Se1 Se 0.100 0.750 0.511
Se2 Se 0.179 0.750 0.054
O1 O 0.031 0.250 0.872